No. 1
Entry from the Alexandria database: HfTa2Pt2 after structural relaxation (PBE).

Values from the calculation:
**Calculated volume**: 181.95 Å³ per cell
**Final energy**: -9.490 eV per atom
**Energy of formation from the pure elements**: -0.341 eV/atom
**Fermi-level density of states**: 7.34 states/eV per cell
**Magnetization**: 0.00 μB/cell

Lattice parameters (Å, degrees): 7.9809 7.9809 2.8566 90.00 90.00 90.00
With the nearest neighbours (Å) after each atom.
Space group P4/mbm (No. 127)
Inequivalent atoms, fractional coordinates:
Hf 0.0000 0.0000 0.0000  2 Hf 2.86, 4 Ta 2.98
Ta 0.1652 0.3348 0.0000  6 Pt 2.71-2.77, 2 Ta 2.86, 2 Hf 2.98
Pt 0.1308 0.6308 0.5000  6 Ta 2.71-2.77, 3 Pt 2.86-2.95

=====

No. 2
Entry from the Alexandria database: HfTaPt2 after structural relaxation (PBE).

Values from the calculation:
**Calculated volume**: 301.98 Å³ per cell
**Final energy**: -8.794 eV per atom
**Energy of formation from the pure elements**: -0.322 eV/atom
**Fermi-level density of states**: 15.88 states/eV per cell
**Magnetization**: 0.00 μB/cell

Lattice parameters (Å, degrees): 7.3114 7.3114 5.6490 90.00 90.00 90.00
With the nearest neighbours (Å) after each atom.
Space group I-42d (No. 122)
Inequivalent atoms, fractional coordinates:
Hf 0.0000 0.0000 0.0000  4 Pt 2.74, 2 Ta 2.82
Ta 0.0000 0.0000 0.5000  4 Pt 2.62, 2 Hf 2.82
Pt 0.2384 0.2500 0.6250  2 Ta 2.62, 2 Hf 2.74, 2 Pt 2.83